1.
Computed, not measured: ZnSi2Br after structural relaxation at the GGA-PBE level of DFT.

space-group type	Fm-3m, No. 225
formation energy (no corrections)	0.76	eV per atom
theoretical density	4.426	g/cm3
magnetic moment	0.000	Bohr magnetons per cell
crystal system	cubic
volume	76	Å³/cell

a b c (Å): 4.746 4.746 4.746
angles (deg): 60.00 60.00 60.00
Sites, in units of the cell vectors:
Zn 0.000 0.000 0.000
Si 0.250 0.250 0.250
Si 0.750 0.750 0.750
Br 0.500 0.500 0.500


2.
Computed, not measured: PuSc2P after structural relaxation at the GGA-PBE level of DFT.

space-group type	R-3m, No. 166
theoretical density	6.426	g/cm3
energy of formation	-550	meV/atom
magnetic moment	6.310	Bohr magnetons per cell
crystal system	trigonal
volume	94	Å³/cell

a b c (Å): 8.981 8.981 8.981
angles (deg): 22.66 22.66 22.66
Sites, in units of the cell vectors:
Pu 0.000 0.000 0.000
Sc 0.226 0.226 0.226
Sc 0.774 0.774 0.774
P 0.500 0.500 0.500


3.
Computed, not measured: CrBi after structural relaxation at the GGA-PBE level of DFT.

space-group type	I-43m, No. 217
theoretical density	6.722	g/cm3
energy of formation	697	meV/atom
magnetic moment	0.000	Bohr magnetons per cell
crystal system	cubic
volume	258	Å³/cell

a b c (Å): 6.945 6.945 6.945
angles (deg): 109.47 109.47 109.47
Sites, in units of the cell vectors:
Cr 0.000 0.000 0.798
Cr 0.000 0.798 0.000
Cr 0.202 0.202 0.202
Cr 0.798 0.000 0.000
Bi 0.000 0.000 0.407
Bi 0.000 0.407 0.000
Bi 0.407 0.000 0.000
Bi 0.593 0.593 0.593


4.
Computed, not measured: Li2YCrI after structural relaxation at the GGA-PBE level of DFT.

space-group type	P4/mmm, No. 123
formation energy (no corrections)	1.49	eV per atom
theoretical density	2.569	g/cm3
magnetic moment	0.975	Bohr magnetons per cell
crystal system	tetragonal
volume	182	Å³/cell

a b c (Å): 5.697 5.697 5.611
angles (deg): 90.00 90.00 90.00
Sites, in units of the cell vectors:
Li 0.000 0.500 0.000
Li 0.500 0.000 0.000
Y 0.000 0.000 0.000
Cr 0.500 0.500 0.500
I 0.000 0.000 0.500


5.
Computed, not measured: TmHf2U after structural relaxation at the GGA-PBE level of DFT.

space-group type	R-3m, No. 166
theoretical density	13.024	g/cm3
energy of formation	408	meV/atom
magnetic moment	1.470	Bohr magnetons per cell
crystal system	trigonal
volume	97	Å³/cell

a b c (Å): 5.320 5.320 5.320
angles (deg): 56.31 56.31 56.31
Sites, in units of the cell vectors:
Tm 0.000 0.000 0.000
Hf 0.229 0.229 0.229
Hf 0.771 0.771 0.771
U 0.500 0.500 0.500


6.
Computed, not measured: K5HF6 after structural relaxation at the GGA-PBE level of DFT.

space-group type	C2/m, No. 12
theoretical density	2.100	g/cm3
magnetic moment	0.315	Bohr magnetons per cell
crystal system	monoclinic
electronic total energy	-4.158	eV/atom
volume	246	Å³/cell

a b c (Å): 6.593 6.593 6.372
angles (deg): 93.86 93.86 116.66
Sites, in units of the cell vectors:
K 0.000 0.000 0.000
K 0.261 0.739 0.500
K 0.343 0.657 0.000
K 0.657 0.343 0.000
K 0.739 0.261 0.500
H 0.500 0.500 0.500
F 0.018 0.373 0.213
F 0.373 0.018 0.213
F 0.423 0.423 0.651
F 0.577 0.577 0.349
F 0.627 0.982 0.787
F 0.982 0.627 0.787


7.
Computed, not measured: NiSnSe2N after structural relaxation at the GGA-PBE level of DFT.

space-group type	P4/mmm, No. 123
formation energy (no corrections)	1.16	eV per atom
theoretical density	5.124	g/cm3
magnetic moment	2.941	Bohr magnetons per cell
crystal system	tetragonal
volume	113	Å³/cell

a b c (Å): 5.330 5.330 3.985
angles (deg): 90.00 90.00 90.00
Sites, in units of the cell vectors:
Ni 0.000 0.000 0.000
Sn 0.500 0.500 0.500
Se 0.000 0.500 0.500
Se 0.500 0.000 0.500
N 0.500 0.500 0.000


8.
Computed, not measured: Pm4In5Co2 after structural relaxation at the GGA-PBE level of DFT.

space-group type	P2/m, No. 10
theoretical density	7.652	g/cm3
energy of formation	-339	meV/atom
magnetic moment	0.854	Bohr magnetons per cell
crystal system	monoclinic
volume	276	Å³/cell

a b c (Å): 7.764 3.771 9.461
angles (deg): 90.00 94.84 90.00
Sites, in units of the cell vectors:
Pm 0.175 0.000 0.339
Pm 0.222 0.000 0.936
Pm 0.778 0.000 0.064
Pm 0.825 0.000 0.661
In 0.166 0.500 0.645
In 0.446 0.500 0.173
In 0.500 0.500 0.500
In 0.554 0.500 0.827
In 0.834 0.500 0.355
Co 0.066 0.500 0.119
Co 0.934 0.500 0.881